# TmZnInPt | Alexandria via LeMat-Bulk | PBE | relaxed
# Volume: 77 Å³/f.u.
# DFT formation energy: -0.672 eV/atom
# DFT total energy: -17.21 eV per cell
# DOS at the Fermi energy: 1.5 states/eV per cell
# Total magnetization: 0.00 μB per cell
data_TmZnInPt
_cell_length_a 4.775
_cell_length_b 4.775
_cell_length_c 4.775
_cell_angle_alpha 60.00
_cell_angle_beta 60.00
_cell_angle_gamma 60.00
_space_group_name_H-M_alt 'P 1'
_space_group_IT_number 1
loop_
_space_group_symop_operation_xyz
'x,y,z'
loop_
_atom_site_label
_atom_site_type_symbol
_atom_site_fract_x
_atom_site_fract_y
_atom_site_fract_z
Zn1 Zn 0.750 0.750 0.750
Tm1 Tm 0.000 0.000 0.000
Pt1 Pt 0.250 0.250 0.250
In1 In 0.500 0.500 0.500


# LaAlCo | Alexandria via LeMat-Bulk | PBE | relaxed
# Volume: 65 Å³/f.u.
# DFT formation energy: -0.236 eV/atom
# DFT total energy: -16.48 eV per cell
# DOS at the Fermi energy: 2.6 states/eV per cell
# Total magnetization: 0.00 μB per cell
data_LaAlCo
_cell_length_a 4.240
_cell_length_b 4.240
_cell_length_c 4.156
_cell_angle_alpha 90.00
_cell_angle_beta 90.00
_cell_angle_gamma 120.00
_space_group_name_H-M_alt 'P 1'
_space_group_IT_number 1
loop_
_space_group_symop_operation_xyz
'x,y,z'
loop_
_atom_site_label
_atom_site_type_symbol
_atom_site_fract_x
_atom_site_fract_y
_atom_site_fract_z
Co1 Co 0.667 0.333 0.166
Al1 Al 0.000 0.000 0.167
La1 La 0.333 0.667 0.667


# ZnIn2Ir | Alexandria via LeMat-Bulk | PBE | relaxed
# Volume: 77 Å³/f.u.
# DFT formation energy: 0.127 eV/atom
# DFT total energy: -15.10 eV per cell
# DOS at the Fermi energy: 1.5 states/eV per cell
# Total magnetization: 0.00 μB per cell
data_ZnIn2Ir
_cell_length_a 9.037
_cell_length_b 9.037
_cell_length_c 9.037
_cell_angle_alpha 20.14
_cell_angle_beta 20.14
_cell_angle_gamma 20.14
_space_group_name_H-M_alt 'P 1'
_space_group_IT_number 1
loop_
_space_group_symop_operation_xyz
'x,y,z'
loop_
_atom_site_label
_atom_site_type_symbol
_atom_site_fract_x
_atom_site_fract_y
_atom_site_fract_z
In1 In 0.996 0.996 0.996
In2 In 0.504 0.504 0.504
Ir1 Ir 0.250 0.250 0.250
Zn1 Zn 0.750 0.750 0.750


# CeTh3As4 | Alexandria via LeMat-Bulk | PBE | relaxed
# Volume: 217 Å³/f.u.
# DFT formation energy: -1.417 eV/atom
# DFT total energy: -58.13 eV per cell
# DOS at the Fermi energy: 8.8 states/eV per cell
# Total magnetization: 1.08 μB per cell
data_CeTh3As4
_cell_length_a 6.008
_cell_length_b 6.008
_cell_length_c 6.008
_cell_angle_alpha 90.00
_cell_angle_beta 90.00
_cell_angle_gamma 90.00
_space_group_name_H-M_alt 'P 1'
_space_group_IT_number 1
loop_
_space_group_symop_operation_xyz
'x,y,z'
loop_
_atom_site_label
_atom_site_type_symbol
_atom_site_fract_x
_atom_site_fract_y
_atom_site_fract_z
As1 As 0.500 0.000 0.000
As2 As 0.000 0.500 0.000
As3 As 0.000 0.000 0.500
As4 As 0.500 0.500 0.500
Th1 Th 0.000 0.500 0.500
Th2 Th 0.500 0.000 0.500
Th3 Th 0.500 0.500 0.000
Ce1 Ce 0.000 0.000 0.000


# Ac2Pm5Sm3 | Alexandria via LeMat-Bulk | PBE | relaxed
# Volume: 375 Å³/f.u.
# DFT formation energy: 0.203 eV/atom
# DFT total energy: -88.20 eV per cell
# DOS at the Fermi energy: 33.0 states/eV per cell
# Total magnetization: 0.00 μB per cell
data_Ac2Pm5Sm3
_cell_length_a 11.307
_cell_length_b 10.460
_cell_length_c 11.826
_cell_angle_alpha 132.18
_cell_angle_beta 133.64
_cell_angle_gamma 61.34
_space_group_name_H-M_alt 'P 1'
_space_group_IT_number 1
loop_
_space_group_symop_operation_xyz
'x,y,z'
loop_
_atom_site_label
_atom_site_type_symbol
_atom_site_fract_x
_atom_site_fract_y
_atom_site_fract_z
Ac1 Ac 0.800 0.997 0.748
Ac2 Ac 0.200 0.003 0.252
Ac3 Ac 0.447 0.750 0.748
Ac4 Ac 0.553 0.250 0.252
Pm1 Pm 0.256 0.506 0.012
Pm2 Pm 0.744 0.494 0.988
Pm3 Pm 0.996 0.746 0.492
Pm4 Pm 0.525 0.275 0.549
Pm5 Pm 0.004 0.254 0.508
Pm6 Pm 0.475 0.725 0.451
Pm7 Pm 0.832 0.594 0.758
Pm8 Pm 0.168 0.406 0.242
Pm9 Pm 0.426 0.163 0.758
Pm10 Pm 0.574 0.837 0.242
Sm1 Sm 0.231 0.981 0.961
Sm2 Sm 0.769 0.019 0.039
Sm3 Sm 0.717 0.467 0.254
Sm4 Sm 0.283 0.533 0.746
Sm5 Sm 0.037 0.787 0.254
Sm6 Sm 0.963 0.213 0.746


# Rb2HgSe2 | Alexandria via LeMat-Bulk | PBE | relaxed
# Volume: 168 Å³/f.u.
# Formation energy (no corrections): -621 meV per atom
# DFT total energy: -24.62 eV per cell
# DOS at the Fermi energy: 0.0 states/eV per cell
# Total magnetization: 0.00 μB per cell
data_Rb2HgSe2
_cell_length_a 8.076
_cell_length_b 8.076
_cell_length_c 5.159
_cell_angle_alpha 90.00
_cell_angle_beta 90.00
_cell_angle_gamma 90.00
_space_group_name_H-M_alt 'P 1'
_space_group_IT_number 1
loop_
_space_group_symop_operation_xyz
'x,y,z'
loop_
_atom_site_label
_atom_site_type_symbol
_atom_site_fract_x
_atom_site_fract_y
_atom_site_fract_z
Se1 Se 0.325 0.825 0.000
Se2 Se 0.825 0.675 0.000
Se3 Se 0.675 0.175 0.000
Se4 Se 0.175 0.325 0.000
Hg1 Hg 0.000 0.000 0.000
Hg2 Hg 0.500 0.500 0.000
Rb1 Rb 0.144 0.644 0.500
Rb2 Rb 0.644 0.856 0.500
Rb3 Rb 0.856 0.356 0.500
Rb4 Rb 0.356 0.144 0.500


# Tb3GeTe | Alexandria via LeMat-Bulk | PBE | relaxed
# Volume: 152 Å³/f.u.
# Formation energy (no corrections): -821 meV per atom
# DFT total energy: -103.03 eV per cell
# DOS at the Fermi energy: 16.4 states/eV per cell
# Total magnetization: 0.00 μB per cell
data_Tb3GeTe
_cell_length_a 7.375
_cell_length_b 9.249
_cell_length_c 9.249
_cell_angle_alpha 75.01
_cell_angle_beta 91.76
_cell_angle_gamma 91.76
_space_group_name_H-M_alt 'P 1'
_space_group_IT_number 1
loop_
_space_group_symop_operation_xyz
'x,y,z'
loop_
_atom_site_label
_atom_site_type_symbol
_atom_site_fract_x
_atom_site_fract_y
_atom_site_fract_z
Tb1 Tb 0.571 0.786 0.002
Tb2 Tb 0.929 0.998 0.214
Tb3 Tb 0.429 0.214 0.998
Tb4 Tb 0.071 0.002 0.786
Tb5 Tb 0.941 0.350 0.859
Tb6 Tb 0.559 0.141 0.650
Tb7 Tb 0.059 0.650 0.141
Tb8 Tb 0.441 0.859 0.350
Tb9 Tb 0.581 0.541 0.651
Tb10 Tb 0.919 0.349 0.459
Tb11 Tb 0.419 0.459 0.349
Tb12 Tb 0.081 0.651 0.541
Ge1 Ge 0.250 0.931 0.069
Ge2 Ge 0.750 0.069 0.931
Ge3 Ge 0.250 0.329 0.671
Ge4 Ge 0.750 0.671 0.329
Te1 Te 0.882 0.684 0.828
Te2 Te 0.618 0.172 0.316
Te3 Te 0.118 0.316 0.172
Te4 Te 0.382 0.828 0.684


# LaSn2Sb2 | Alexandria via LeMat-Bulk | PBE | relaxed
# Volume: 149 Å³/f.u.
# Formation energy (no corrections): -320 meV per atom
# DFT total energy: -45.56 eV per cell
# DOS at the Fermi energy: 8.0 states/eV per cell
# Total magnetization: 0.00 μB per cell
data_LaSn2Sb2
_cell_length_a 8.289
_cell_length_b 8.289
_cell_length_c 4.338
_cell_angle_alpha 90.00
_cell_angle_beta 90.00
_cell_angle_gamma 90.00
_space_group_name_H-M_alt 'P 1'
_space_group_IT_number 1
loop_
_space_group_symop_operation_xyz
'x,y,z'
loop_
_atom_site_label
_atom_site_type_symbol
_atom_site_fract_x
_atom_site_fract_y
_atom_site_fract_z
Sb1 Sb 0.367 0.867 0.000
Sb2 Sb 0.867 0.633 0.000
Sb3 Sb 0.633 0.133 0.000
Sb4 Sb 0.133 0.367 0.000
Sn1 Sn 0.178 0.678 0.500
Sn2 Sn 0.678 0.822 0.500
Sn3 Sn 0.822 0.322 0.500
Sn4 Sn 0.322 0.178 0.500
La1 La 0.000 0.000 0.000
La2 La 0.500 0.500 0.000


# CdGeP2 | Alexandria via LeMat-Bulk | PBE | relaxed
# Volume: 74 Å³/f.u.
# DFT formation energy: 0.497 eV/atom
# Energy relative to the lowest polymorph listed for this composition: 593 meV/atom
# DFT total energy: -14.37 eV per cell
# DOS at the Fermi energy: 2.2 states/eV per cell
# Total magnetization: 0.00 μB per cell
data_CdGeP2
_cell_length_a 4.706
_cell_length_b 4.706
_cell_length_c 4.706
_cell_angle_alpha 60.00
_cell_angle_beta 60.00
_cell_angle_gamma 60.00
_space_group_name_H-M_alt 'P 1'
_space_group_IT_number 1
loop_
_space_group_symop_operation_xyz
'x,y,z'
loop_
_atom_site_label
_atom_site_type_symbol
_atom_site_fract_x
_atom_site_fract_y
_atom_site_fract_z
P1 P 0.250 0.250 0.250
P2 P 0.750 0.750 0.750
Ge1 Ge 0.000 0.000 0.000
Cd1 Cd 0.500 0.500 0.500


Q: Which formula does entry 1 have?
A: TmZnInPt


Q: DOS at the Fermi energy of number 6 (Rb2HgSe2)?
A: 0.0 states/eV per cell